1.
Computed, not measured: a relaxed structure of TaMnBr2 at the PBE-GGA level of DFT.

Calculated values
ρ (kg/m³): 7212
Relative energy among the computed polymorphs (meV per atom): 439
DFT total energy (Ry/atom): -0.429

Lattice parameters (Å, degrees): 3.2359 3.2359 30.1406 90.00 90.00 120.00
Fractional coordinates of all 12 atoms:
Ta1 0.0000 0.0000 0.0000
Ta2 0.3333 0.6667 0.6667
Ta3 0.6667 0.3333 0.3333
Mn1 0.0000 0.0000 0.5000
Mn2 0.3333 0.6667 0.1667
Mn3 0.6667 0.3333 0.8333
Br1 0.0000 0.0000 0.3977
Br2 0.0000 0.0000 0.6023
Br3 0.3333 0.6667 0.0644
Br4 0.3333 0.6667 0.2690
Br5 0.6667 0.3333 0.7310
Br6 0.6667 0.3333 0.9356

2.
Computed, not measured: a relaxed structure of Ta2MnBr at the PBE-GGA level of DFT.

Calculated values
ρ (kg/m³): 12492
Relative energy among the computed polymorphs (meV per atom): 443
DFT total energy (Ry/atom): -0.587

Lattice parameters (Å, degrees): 4.6644 4.6644 3.0349 90.00 90.00 90.00
Fractional coordinates of all 4 atoms:
Ta1 0.0000 0.5000 0.0000
Ta2 0.5000 0.0000 0.0000
Mn1 0.0000 0.0000 0.5000
Br1 0.5000 0.5000 0.5000

Number 1: E_form (uncorrected) 101 kJ/mol of formula units. Number 2: E_form (uncorrected) 251 kJ/mol of formula units.